VASP calculation (PBE with a Hubbard U) on PuTlCoO6 after structural relaxation.

Values from the calculation:
- Crystal system: trigonal
- Size of the total moment: 2.0 μB/f.u.
- Raw total energy: -0.530 Ry per atom

Unit cell a=5.2016 b=5.2016 c=9.8715 alpha=90.00 beta=90.00 gamma=120.00
Closest atoms and distances in Å follow each position.
Space group P-31c (No. 163)
Inequivalent atoms, fractional coordinates:
1 Pu 0.3333 0.6667 0.2500 x2  6 O 2.06
2 Tl 0.0000 0.0000 0.0000 x2  6 O 2.32
3 Co 0.3333 0.6667 0.7500 x2  6 O 1.94
4 O 0.0183 0.3685 0.6386 x12  1 Co 1.94, 1 Pu 2.06